(1)
VASP calculation (PBE) on an optimized crystal structure of PaPdN.

Computed properties:
offset from the most stable computed form: 0.13 eV per formula unit
energy: -8.428 eV per atom
total moment: 0.00 μB per cell

Cell: 3.2969 3.2969 5.4930 Å, 107.46 107.46 90.00°
Element x y z (fractional)
1 N 0.2509 0.2509 0.5018
2 Pa 0.7303 0.7303 0.4607
3 Pd 0.0188 0.0188 0.0375

---

(2)
VASP calculation (PBE) on an optimized crystal structure of PaPdN.

Computed properties:
offset from the most stable computed form: 0.00 eV per formula unit
energy: -8.472 eV per atom
total moment: 0.00 μB per cell

Cell: 3.8584 3.8584 4.1773 Å, 90.00 90.00 120.00°
Element x y z (fractional)
1 Pd 0.3333 0.6667 0.6664
2 Pa 0.6667 0.3333 0.1659
3 N 0.0000 0.0000 0.1677

---

(3)
VASP calculation (PBE) on an optimized crystal structure of PmPa2PdN5.

Computed properties:
energy: -8.806 eV per atom
total moment: 0.00 μB per cell

Cell: 3.5754 6.7409 11.2327 Å, 90.00 90.00 105.38°
Element x y z (fractional)
1 N 0.0602 0.1205 0.0959
2 Pm 0.7923 0.5846 0.4836
3 N 0.4550 0.9100 0.7865
4 Pm 0.2077 0.4154 0.9836
5 Pd 0.4798 0.9596 0.4536
6 N 0.2690 0.5381 0.6669
7 N 0.6170 0.2340 0.5528
8 Pa 0.9031 0.8062 0.1783
9 N 0.7310 0.4619 0.1669
10 N 0.9398 0.8795 0.5959
11 N 0.3321 0.6641 0.3429
12 N 0.6679 0.3359 0.8429
13 Pa 0.1514 0.3029 0.2635
14 Pa 0.8486 0.6971 0.7635
15 N 0.3830 0.7660 0.0528
16 N 0.5450 0.0900 0.2865
17 Pd 0.5202 0.0404 0.9536
18 Pa 0.0969 0.1938 0.6783

---

(4)
VASP calculation (PBE) on an optimized crystal structure of PmPa2PdN4.

Computed properties:
energy: -9.019 eV per atom
total moment: 0.00 μB per cell

Cell: 3.5477 6.0251 11.9560 Å, 90.00 90.00 107.12°
Element x y z (fractional)
1 Pd 0.1690 0.3380 0.2500
2 N 0.2701 0.5402 0.0969
3 N 0.5373 0.0746 0.2500
4 N 0.7299 0.4598 0.9031
5 N 0.0000 0.0000 0.0000
6 N 0.0000 0.0000 0.5000
7 Pa 0.6295 0.2591 0.0600
8 Pa 0.3705 0.7409 0.9400
9 N 0.4627 0.9254 0.7500
10 N 0.2701 0.5402 0.4031
11 Pm 0.1014 0.2027 0.7500
12 Pm 0.8986 0.7973 0.2500
13 Pa 0.6295 0.2591 0.4400
14 N 0.7299 0.4598 0.5969
15 Pd 0.8310 0.6620 0.7500
16 Pa 0.3705 0.7409 0.5600

---

(5)
VASP calculation (PBE) on an optimized crystal structure of Pm2PaPdN4.

Computed properties:
energy: -8.171 eV per atom
total moment: 0.00 μB per cell

Cell: 3.4641 6.2193 6.2936 Å, 116.25 90.00 90.00°
Element x y z (fractional)
1 N 0.5000 0.7549 0.7833
2 Pm 0.5000 0.0000 0.5000
3 Pd 0.0000 0.0000 0.0000
4 Pa 0.5000 0.5000 0.0000
5 Pm 0.0000 0.5000 0.5000
6 N 0.0000 0.3019 0.7481
7 N 0.0000 0.6981 0.2519
8 N 0.5000 0.2451 0.2167

---

(6)
VASP calculation (PBE) on an optimized crystal structure of PrPa2PdN5.

Computed properties:
energy: -8.852 eV per atom
total moment: 0.00 μB per cell

Cell: 6.5847 6.5847 7.4797 Å, 116.11 116.11 90.00°
Element x y z (fractional)
1 N 0.2214 0.0332 0.7546
2 Pr 0.2500 0.2500 0.5000
3 N 0.4668 0.2786 0.2454
4 N 0.0332 0.5332 0.7546
5 N 0.5000 0.5000 0.0000
6 Pd 0.2500 0.7500 0.5000
7 Pa 0.6701 0.1701 0.0000
8 N 0.7214 0.2214 0.7546
9 N 0.2786 0.7786 0.2454
10 Pa 0.1701 0.3299 0.0000
11 Pa 0.3299 0.8299 0.0000
12 Pa 0.8299 0.6701 0.0000
13 Pr 0.7500 0.7500 0.5000
14 N 0.7786 0.9668 0.2454
15 N 0.9668 0.4668 0.2454
16 Pd 0.7500 0.2500 0.5000
17 N 0.0000 0.0000 0.0000
18 N 0.5332 0.7214 0.7546